{
  "formula": "MgNi",
  "functional": "GGA-PBE",
  "state": "optimized geometry",
  "lattice_angstrom": [[-1.996, 7.299, -0.104], [-0.949, -4.093, 6.295], [3.730, 1.038, 1.237]],
  "species": ["Mg", "Mg", "Mg", "Mg", "Mg", "Mg", "Ni", "Ni", "Ni", "Ni", "Ni", "Ni"],
  "frac_coords": [[0.810, 0.621, 0.250], [0.190, 0.810, 0.750], [0.379, 0.190, 0.250], [0.190, 0.379, 0.750], [0.810, 0.190, 0.250], [0.621, 0.810, 0.750], [0.441, 0.882, 0.250], [0.559, 0.441, 0.750], [0.118, 0.559, 0.250], [0.559, 0.118, 0.750], [0.441, 0.559, 0.250], [0.882, 0.441, 0.750]],
  "formation_energy_kj_per_mol_fu": -15,
  "dft_energy_ev_per_atom": -3.764,
  "spacegroup": "P6_3/mmc"
}

{
  "formula": "Th2Al3Tc",
  "functional": "GGA-PBE",
  "state": "optimized geometry",
  "lattice_angstrom": [[-3.432, -1.199, -4.217], [4.623, 2.959, -0.933], [3.075, -4.063, 2.336]],
  "species": ["Th", "Th", "Al", "Al", "Al", "Tc"],
  "frac_coords": [[0.743, 0.372, 0.114], [0.257, 0.628, 0.886], [0.500, 0.500, 0.500], [0.000, 0.000, 0.500], [0.500, 0.000, 0.500], [0.000, 0.000, 0.000]],
  "formation_energy_kj_per_mol_fu": -236,
  "relative_energy_ev_per_atom": 0.039,
  "dft_energy_ev_per_atom": -6.480,
  "spacegroup": "C2/m"
}